1.
## KSrY2 (PBE-GGA)

Data for crystalline KSrY2 at its relaxed geometry.

Unit cell a=13.834 b=13.834 c=13.834 alpha=15.56 beta=15.56 gamma=15.56
Last column: magnetic moment on the atom in μB.
Fractional positions:
K (0.250, 0.250, 0.250)  0.01
Sr (0.750, 0.750, 0.750)  0.04
Y (0.005, 0.005, 0.005)  0.17
Y (0.495, 0.495, 0.495)  0.17

Values from the calculation:
ΔE to the lowest computed polymorph = 0.69 eV per formula unit
Calculated total energy = -3.55 eV per atom


2.
## SrLiAs2 (PBE-GGA)

Data for crystalline SrLiAs2 at its relaxed geometry.

Unit cell a=4.566 b=7.593 c=10.817 alpha=90.00 beta=90.00 gamma=90.00
Fractional positions:
Sr (0.750, 0.864, 0.128)
Sr (0.250, 0.136, 0.872)
Sr (0.750, 0.364, 0.372)
Sr (0.250, 0.636, 0.628)
Li (0.250, 0.509, 0.120)
Li (0.250, 0.009, 0.380)
Li (0.750, 0.491, 0.880)
Li (0.750, 0.991, 0.620)
As (0.750, 0.823, 0.833)
As (0.250, 0.177, 0.167)
As (0.750, 0.323, 0.667)
As (0.250, 0.677, 0.333)
As (0.750, 0.800, 0.417)
As (0.250, 0.700, 0.917)
As (0.750, 0.300, 0.083)
As (0.250, 0.200, 0.583)

Values from the calculation:
ΔE to the lowest computed polymorph = 0.00 eV per formula unit
Calculated total energy = -4.00 eV per atom


3.
## LiPSe2 (PBE-GGA)

Data for crystalline LiPSe2 at its relaxed geometry.

Unit cell a=7.909 b=7.909 c=7.909 alpha=27.85 beta=27.85 gamma=27.85
Fractional positions:
P (0.500, 0.500, 0.500)
Se (0.895, 0.895, 0.895)
Se (0.105, 0.105, 0.105)
Li (0.000, 0.000, 0.000)

Values from the calculation:
Formation energy without anion corrections = -0.219 eV/atom
Calculated total energy = -3.79 eV per atom


4.
## AlSb2Pb (PBE-GGA)

Data for crystalline AlSb2Pb at its relaxed geometry.

Unit cell a=3.420 b=3.710 c=8.263 alpha=90.00 beta=90.00 gamma=90.00
Fractional positions:
Pb (0.500, 0.500, 0.750)
Sb (0.000, 0.000, 0.045)
Sb (0.000, 0.000, 0.455)
Al (0.500, 0.500, 0.250)

Values from the calculation:
ΔE to the lowest computed polymorph = 0.38 eV per formula unit
Formation energy without anion corrections = 0.140 eV/atom
Calculated total energy = -3.78 eV per atom


5.
## CsLiSmS2 (PBE-GGA)

Data for crystalline CsLiSmS2 at its relaxed geometry.

Unit cell a=5.243 b=8.084 c=9.060 alpha=116.50 beta=90.00 gamma=90.00
Fractional positions:
Cs (0.177, 0.750, 0.500)
Cs (0.823, 0.250, 0.500)
Li (0.000, 0.000, 0.000)
Li (0.000, 0.500, 0.000)
Sm (0.500, 0.750, 0.000)
Sm (0.500, 0.250, 0.000)
S (0.663, 0.898, 0.797)
S (0.663, 0.602, 0.203)
S (0.337, 0.398, 0.797)
S (0.337, 0.102, 0.203)

Values from the calculation:
Formation energy without anion corrections = -1.252 eV/atom
Calculated total energy = -4.40 eV per atom


6.
## TlAu2 (PBE-GGA)

Data for crystalline TlAu2 at its relaxed geometry.

Unit cell a=4.701 b=4.701 c=4.701 alpha=60.00 beta=60.00 gamma=60.00
Fractional positions:
Tl (0.000, 0.000, 0.000)
Au (0.250, 0.250, 0.250)
Au (0.750, 0.750, 0.750)

Values from the calculation:
ΔE to the lowest computed polymorph = 0.71 eV per formula unit
Calculated total energy = -2.73 eV per atom


7.
## HfNb2Al2 (PBE-GGA)

Data for crystalline HfNb2Al2 at its relaxed geometry.

Unit cell a=6.054 b=6.054 c=6.750 alpha=98.19 beta=98.19 gamma=119.82
Fractional positions:
Hf (0.928, 0.572, 0.750)
Hf (0.072, 0.428, 0.250)
Nb (0.270, 0.924, 0.558)
Nb (0.424, 0.770, 0.058)
Nb (0.730, 0.076, 0.442)
Nb (0.576, 0.230, 0.942)
Al (0.194, 0.306, 0.750)
Al (0.341, 0.159, 0.250)
Al (0.659, 0.841, 0.750)
Al (0.806, 0.694, 0.250)

Values from the calculation:
ΔE to the lowest computed polymorph = 3.31 eV per formula unit
Calculated total energy = -7.20 eV per atom


8.
## Mg2OsPb (PBE-GGA)

Data for crystalline Mg2OsPb at its relaxed geometry.

Unit cell a=4.414 b=4.414 c=3.829 alpha=90.00 beta=90.00 gamma=90.00
Fractional positions:
Mg (0.000, 0.000, 0.000)
Mg (0.500, 0.500, 0.000)
Os (0.500, 0.000, 0.500)
Pb (0.000, 0.500, 0.500)

Values from the calculation:
Calculated total energy = -4.16 eV per atom